# YReP3 (PBE, optimized geometry)
data_YReP3
_chemical_formula_sum 'Y1 Re1 P3'
_space_group_name_H-M_alt 'P 1'
_space_group_IT_number 1
_space_group_name_Hall 'P 1'
_cell_length_a 5.0028
_cell_length_b 5.0028
_cell_length_c 5.0028
_cell_angle_alpha 90.00
_cell_angle_beta 90.00
_cell_angle_gamma 90.00
loop_
_atom_site_label
_atom_site_type_symbol
_atom_site_fract_x
_atom_site_fract_y
_atom_site_fract_z
Y1 Y 0.0000 0.0000 0.0000
Re1 Re 0.5000 0.5000 0.5000
P1 P 0.0000 0.0000 0.5000
P2 P 0.0000 0.5000 0.0000
P3 P 0.5000 0.0000 0.0000
# **Energy above the most stable polymorph in this dataset**: 184.3 kJ/mol of atoms
# **DFT total energy**: -0.1866 hartree per atom
# **Size of the total moment**: 0.000 μB/cell
# **Crystal system**: cubic
# **Symmetry**: No. 221

=====

# YReP (PBE, optimized geometry)
data_YReP
_chemical_formula_sum 'Y1 Re1 P1'
_space_group_name_H-M_alt 'P 1'
_space_group_IT_number 1
_space_group_name_Hall 'P 1'
_cell_length_a 4.0309
_cell_length_b 4.0309
_cell_length_c 4.2169
_cell_angle_alpha 90.00
_cell_angle_beta 90.00
_cell_angle_gamma 120.00
loop_
_atom_site_label
_atom_site_type_symbol
_atom_site_fract_x
_atom_site_fract_y
_atom_site_fract_z
Y1 Y 0.0000 0.0000 0.0000
Re1 Re 0.6667 0.3333 0.5000
P1 P 0.3333 0.6667 0.5000
# **Energy above the most stable polymorph in this dataset**: 0.0 kJ/mol of atoms
# **DFT total energy**: -0.3151 hartree per atom
# **Size of the total moment**: 0.000 μB/cell
# **Crystal system**: hexagonal
# **Symmetry**: No. 187

=====

# YReP3 (PBE, optimized geometry)
data_YReP3
_chemical_formula_sum 'Y1 Re1 P3'
_space_group_name_H-M_alt 'P 1'
_space_group_IT_number 1
_space_group_name_Hall 'P 1'
_cell_length_a 4.6744
_cell_length_b 4.6744
_cell_length_c 4.6744
_cell_angle_alpha 90.00
_cell_angle_beta 90.00
_cell_angle_gamma 90.00
loop_
_atom_site_label
_atom_site_type_symbol
_atom_site_fract_x
_atom_site_fract_y
_atom_site_fract_z
Y1 Y 0.0000 0.0000 0.0000
Re1 Re 0.5000 0.5000 0.5000
P1 P 0.0000 0.5000 0.5000
P2 P 0.5000 0.0000 0.5000
P3 P 0.5000 0.5000 0.0000
# **Energy above the most stable polymorph in this dataset**: 0.0 kJ/mol of atoms
# **DFT total energy**: -0.2568 hartree per atom
# **Size of the total moment**: 0.000 μB/cell
# **Crystal system**: cubic
# **Symmetry**: No. 221

=====

# YReP2 (PBE, optimized geometry)
data_YReP2
_chemical_formula_sum 'Y1 Re1 P2'
_space_group_name_H-M_alt 'P 1'
_space_group_IT_number 1
_space_group_name_Hall 'P 1'
_cell_length_a 6.0262
_cell_length_b 6.0262
_cell_length_c 6.0262
_cell_angle_alpha 37.80
_cell_angle_beta 37.80
_cell_angle_gamma 37.80
loop_
_atom_site_label
_atom_site_type_symbol
_atom_site_fract_x
_atom_site_fract_y
_atom_site_fract_z
Y1 Y 0.0000 0.0000 0.0000
Re1 Re 0.8111 0.8111 0.8111
P1 P 0.2271 0.2271 0.2271
P2 P 0.4422 0.4422 0.4422
# **Energy above the most stable polymorph in this dataset**: 0.0 kJ/mol of atoms
# **DFT total energy**: -0.2990 hartree per atom
# **Size of the total moment**: 0.000 μB/cell
# **Crystal system**: trigonal
# **Symmetry**: No. 160

=====

# YRe2P (PBE, optimized geometry)
data_YRe2P
_chemical_formula_sum 'Y1 Re2 P1'
_space_group_name_H-M_alt 'P 1'
_space_group_IT_number 1
_space_group_name_Hall 'P 1'
_cell_length_a 3.2835
_cell_length_b 4.1398
_cell_length_c 5.4071
_cell_angle_alpha 90.00
_cell_angle_beta 90.00
_cell_angle_gamma 90.00
loop_
_atom_site_label
_atom_site_type_symbol
_atom_site_fract_x
_atom_site_fract_y
_atom_site_fract_z
Y1 Y 0.0000 0.0000 0.0000
Re1 Re 0.0000 0.5000 0.4532
Re2 Re 0.5000 0.0000 0.4844
P1 P 0.5000 0.5000 0.7800
# **DFT total energy**: -0.3441 hartree per atom
# **Size of the total moment**: 0.000 μB/cell
# **Crystal system**: orthorhombic
# **Symmetry**: No. 25

=====

# YRe2P (PBE, optimized geometry)
data_YRe2P
_chemical_formula_sum 'Y2 Re4 P2'
_space_group_name_H-M_alt 'P 1'
_space_group_IT_number 1
_space_group_name_Hall 'P 1'
_cell_length_a 9.4230
_cell_length_b 9.4230
_cell_length_c 9.4230
_cell_angle_alpha 154.19
_cell_angle_beta 154.19
_cell_angle_gamma 36.83
loop_
_atom_site_label
_atom_site_type_symbol
_atom_site_fract_x
_atom_site_fract_y
_atom_site_fract_z
Y1 Y 0.0000 0.0000 0.0000
Y2 Y 0.7500 0.2500 0.5000
Re1 Re 0.2329 0.6250 0.1079
Re2 Re 0.3750 0.4829 0.6079
Re3 Re 0.5171 0.1250 0.8921
Re4 Re 0.8750 0.7671 0.3921
P1 P 0.2500 0.7500 0.5000
P2 P 0.5000 0.5000 0.0000
# **DFT total energy**: -0.3310 hartree per atom
# **Size of the total moment**: 0.000 μB/cell
# **Crystal system**: tetragonal
# **Symmetry**: No. 122